Computed, not measured: a geometry-optimized RbIn2GaI8 structure at the PBE level of DFT. Values from VASP.

crystal system = trigonal
D(E_F) = 0.00 states/eV/cell
E_tot = -0.182 Ry per atom
energy relative to the elements, uncorrected = -650 meV/atom

The structure in Quantum ESPRESSO input format:
```
&SYSTEM
  ibrav = 0, nat = 12, ntyp = 4
/
ATOMIC_SPECIES
Rb 85.47 Rb.upf
In 114.82 In.upf
Ga 69.72 Ga.upf
I 126.90 I.upf
CELL_PARAMETERS angstrom
7.761 0.000 0.000
-3.880 6.721 0.000
0.000 0.000 11.370
ATOMIC_POSITIONS crystal
Rb 0.000 0.000 0.000
In 0.333 0.667 0.760
In 0.667 0.333 0.240
Ga 0.000 0.000 0.500
I 0.005 0.676 0.313
I 0.324 0.330 0.313
I 0.330 0.005 0.687
I 0.333 0.667 0.002
I 0.667 0.333 0.998
I 0.670 0.995 0.313
I 0.676 0.670 0.687
I 0.995 0.324 0.687
```